Zr2BRu, relaxed, DFT PBE-GGA; spin magnetization = 0.0 μB per formula unit; DOS at the Fermi energy = 1.13 states/eV/atom; DFT formation energy = 244.5 meV/atom
1.0
6.665 0.000 0.000
0.000 6.665 0.000
0.000 0.000 6.354
Zr B Ru
8 4 4
Cartesian
1.442 1.666 0.794 Zr
1.666 4.775 2.383 Zr
1.666 5.222 5.560 Zr
1.890 1.666 3.971 Zr
4.775 4.998 3.971 Zr
4.998 1.442 5.560 Zr
4.998 1.890 2.383 Zr
5.222 4.998 0.794 Zr
0.000 0.000 0.000 B
0.000 3.332 1.588 B
3.332 0.000 4.765 B
3.332 3.332 3.177 B
0.000 0.000 3.177 Ru
0.000 3.332 4.765 Ru
3.332 0.000 1.588 Ru
3.332 3.332 0.000 Ru